P:
VASP calculation (GGA-PBE) on a relaxed structure of Zr2PbF.

a b c (Å): 6.8919 6.8919 6.8919
angles (deg): 90.00 90.00 90.00
Closest atoms and distances in Å follow each position.
Space group Fm-3m (No. 225)
Unique sites:
1 Zr 0.2500 0.2500 0.2500 [8 per cell]  4 Pb 2.98, 4 F 2.98
2 Pb 0.0000 0.0000 0.0000 [4 per cell]  8 Zr 2.98
3 F 0.0000 0.0000 0.5000 [4 per cell]  8 Zr 2.98

The total magnetic moment is 0.0 Bohr magnetons per cell. The density comes out at 8.29 g/cm³.

Q:
VASP calculation (GGA-PBE) on a relaxed structure of Zr2PbF.

a b c (Å): 5.1722 5.1722 14.5164
angles (deg): 90.00 90.00 90.00
Closest atoms and distances in Å follow each position.
Space group I-42d (No. 122)
Unique sites:
1 Zr 0.0884 0.2500 0.1250 [8 per cell]  2 F 2.27
2 Pb 0.0000 0.0000 0.5000 [4 per cell]  4 Zr 3.08
3 F 0.0000 0.0000 0.0000 [4 per cell]  4 Zr 2.27

The total magnetic moment is 0.0 Bohr magnetons per cell. The density comes out at 6.99 g/cm³.

P is preferred energetically. Next in line: 0.125 eV/atom higher.

P:
VASP calculation (GGA-PBE) on a relaxed structure of PdPt3F.

a b c (Å): 4.3486 4.3486 4.3486
angles (deg): 90.00 90.00 90.00
Closest atoms and distances in Å follow each position.
Space group Pm-3m (No. 221)
Unique sites:
1 Pd 0.0000 0.0000 0.0000 [1 per cell]  12 Pt 3.07
2 Pt 0.0000 0.5000 0.5000 [3 per cell]  2 F 2.17
3 F 0.5000 0.5000 0.5000 [1 per cell]  6 Pt 2.17

The total magnetic moment is 1.9 Bohr magnetons per cell. The density comes out at 14.35 g/cm³.

Q:
VASP calculation (GGA-PBE) on a relaxed structure of PdPt3F.

a b c (Å): 4.8580 4.8580 4.8580
angles (deg): 90.00 90.00 90.00
Closest atoms and distances in Å follow each position.
Space group Pm-3m (No. 221)
Unique sites:
1 Pd 0.0000 0.0000 0.0000 [1 per cell]  6 Pt 2.43
2 Pt 0.0000 0.0000 0.5000 [3 per cell]  2 Pd 2.43
3 F 0.5000 0.5000 0.5000 [1 per cell]  12 Pt 3.44

The total magnetic moment is 1.3 Bohr magnetons per cell. The density comes out at 10.29 g/cm³.

P is preferred energetically. Next in line: 0.584 eV/atom higher.

P:
VASP calculation (GGA-PBE) on a relaxed structure of RbPd2F.

a b c (Å): 6.7793 6.7793 6.7793
angles (deg): 90.00 90.00 90.00
Closest atoms and distances in Å follow each position.
Space group Fm-3m (No. 225)
Unique sites:
1 Rb 0.0000 0.0000 0.0000 [4 per cell]  8 Pd 2.94
2 Pd 0.2500 0.2500 0.2500 [8 per cell]  4 F 2.94, 4 Rb 2.94
3 F 0.0000 0.0000 0.5000 [4 per cell]  8 Pd 2.94

The total magnetic moment is 0.0 Bohr magnetons per cell. The density comes out at 6.76 g/cm³.

Q:
VASP calculation (GGA-PBE) on a relaxed structure of RbPd2F.

a b c (Å): 5.3401 5.3401 14.7963
angles (deg): 90.00 90.00 90.00
Closest atoms and distances in Å follow each position.
Space group I4_1/amd (No. 141, origin choice 2)
Unique sites:
1 Rb 0.0000 0.2500 0.3750 [4 per cell]  8 Pd 3.51, 4 F 3.78
2 Pd 0.0000 0.0000 0.0000 [8 per cell]  2 F 2.28
3 F 0.0000 0.2500 0.8750 [4 per cell]  4 Pd 2.28

The total magnetic moment is 1.8 Bohr magnetons per cell. The density comes out at 4.99 g/cm³.

Q is preferred energetically. Next in line: 0.381 eV/atom higher.

P:
VASP calculation (GGA-PBE) on a relaxed structure of Rb3Pd2F7.

a b c (Å): 4.3707 4.3707 22.4830
angles (deg): 90.00 90.00 90.00
Closest atoms and distances in Å follow each position.
Space group I4/mmm (No. 139)
Unique sites:
1 Rb 0.0000 0.0000 0.0000 [2 per cell]  12 F 3.05-3.09
2 Rb 0.0000 0.0000 0.1833 [4 per cell]  9 F 2.80-3.10
3 Pd 0.0000 0.0000 0.4044 [4 per cell]  6 F 2.15-2.19
4 F 0.0000 0.0000 0.3080 [4 per cell]  1 Pd 2.17
5 F 0.0000 0.0000 0.5000 [2 per cell]  2 Pd 2.15
6 F 0.0000 0.5000 0.0948 [8 per cell]  2 Pd 2.19

The total magnetic moment is 0.0 Bohr magnetons per cell. The density comes out at 4.66 g/cm³.

Q:
VASP calculation (GGA-PBE) on a relaxed structure of Rb3Pd2F7.

a b c (Å): 4.4170 22.6806 4.3110
angles (deg): 90.00 90.00 90.00
Closest atoms and distances in Å follow each position.
Space group Cmmm (No. 65)
Unique sites:
1 Rb 0.0000 0.0000 0.0000 [2 per cell]  12 F 3.03-3.09
2 Rb 0.0000 0.1808 0.0000 [4 per cell]  8 F 2.92-3.09
3 Pd 0.0000 0.4051 0.5000 [4 per cell]  6 F 2.15-2.21
4 F 0.0000 0.0940 0.5000 [4 per cell]  2 Pd 2.21
5 F 0.0000 0.3103 0.5000 [4 per cell]  1 Pd 2.15
6 F 0.0000 0.4054 0.0000 [4 per cell]  2 Pd 2.16
7 F 0.0000 0.5000 0.5000 [2 per cell]  2 Pd 2.15

The total magnetic moment is 0.0 Bohr magnetons per cell. The density comes out at 4.63 g/cm³.

P is preferred energetically. Next in line: 0.027 eV/atom higher.

P:
VASP calculation (GGA-PBE) on a relaxed structure of Rb2PdF4.

a b c (Å): 6.4055 6.4055 3.7805
angles (deg): 90.00 90.00 90.00
Closest atoms and distances in Å follow each position.
Space group P4/mmm (No. 123)
Unique sites:
1 Rb 0.0000 0.5000 0.0000 [2 per cell]  8 F 2.96
2 Pd 0.0000 0.0000 0.5000 [1 per cell]  4 F 2.00
3 F 0.2210 0.2210 0.5000 [4 per cell]  1 Pd 2.00

The total magnetic moment is 0.0 Bohr magnetons per cell. The density comes out at 3.78 g/cm³.

Q:
VASP calculation (GGA-PBE) on a relaxed structure of Rb2PdF4.

a b c (Å): 6.7793 11.1046 3.6317
angles (deg): 90.00 90.00 90.00
Closest atoms and distances in Å follow each position.
Space group Pbam (No. 55)
Unique sites:
1 Rb 0.0654 0.1772 0.0000 [4 per cell]  6 F 2.75-2.99
2 Pd 0.0000 0.5000 0.5000 [2 per cell]  6 F 2.17-2.30
3 F 0.1295 0.6791 0.5000 [4 per cell]  1 Pd 2.17
4 F 0.1936 0.4520 0.0000 [4 per cell]  2 Pd 2.30

The total magnetic moment is 4.0 Bohr magnetons per cell. The density comes out at 4.29 g/cm³.

P is preferred energetically. Next in line: 0.136 eV/atom higher.

P:
VASP calculation (GGA-PBE) on a relaxed structure of Rb3PdF8.

a b c (Å): 8.4862 8.4862 7.2823
angles (deg): 90.00 90.00 120.00
Closest atoms and distances in Å follow each position.
Space group P6_3mc (No. 186)
Unique sites:
1 Rb 0.1577 0.3153 0.0000 [6 per cell]  2 F 2.63-2.91
2 Pd 0.3333 0.6667 0.4521 [2 per cell]  6 F 1.94-1.95
3 F 0.0000 0.0000 0.2574 [2 per cell]  6 Rb 2.91-2.98
4 F 0.1174 0.5587 0.2993 [6 per cell]  1 Pd 1.94
5 F 0.2230 0.4459 0.5998 [6 per cell]  1 Pd 1.95
6 F 0.3333 0.6667 0.9308 [2 per cell]  3 Rb 2.63, 3 F 2.91

The total magnetic moment is 2.4 Bohr magnetons per cell. The density comes out at 3.76 g/cm³.

Q:
VASP calculation (GGA-PBE) on a relaxed structure of Rb3PdF8.

a b c (Å): 6.1742 6.1742 11.8732
angles (deg): 90.00 90.00 90.00
Closest atoms and distances in Å follow each position.
Space group I4/mmm (No. 139)
Unique sites:
1 Rb 0.0000 0.0000 0.0000 [2 per cell]  8 F 2.91
2 Rb 0.0000 0.5000 0.2500 [4 per cell]  8 F 2.84
3 Pd 0.0000 0.0000 0.5000 [2 per cell]  8 F 2.10
4 F 0.1965 0.1965 0.3979 [16 per cell]  1 Pd 2.10

The total magnetic moment is 2.1 Bohr magnetons per cell. The density comes out at 3.78 g/cm³.

P is preferred energetically. Next in line: 0.189 eV/atom higher.

P:
VASP calculation (GGA-PBE) on a relaxed structure of RePdF2.

a b c (Å): 7.1241 7.1241 4.9883
angles (deg): 90.00 90.00 90.00
Closest atoms and distances in Å follow each position.
Space group I-42d (No. 122)
Unique sites:
1 Re 0.0000 0.0000 0.0000 [4 per cell]  4 F 2.10
2 Pd 0.0000 0.0000 0.5000 [4 per cell]  2 Re 2.49, 4 F 2.74
3 F 0.1304 0.7500 0.1250 [8 per cell]  2 Re 2.10

The total magnetic moment is 0.1 Bohr magnetons per cell. The density comes out at 8.67 g/cm³.

Q:
VASP calculation (GGA-PBE) on a relaxed structure of RePdF2.

a b c (Å): 6.0395 6.0395 6.0395
angles (deg): 90.00 90.00 90.00
Closest atoms and distances in Å follow each position.
Space group Fm-3m (No. 225)
Unique sites:
1 Re 0.0000 0.0000 0.0000 [4 per cell]  8 F 2.62
2 Pd 0.0000 0.0000 0.5000 [4 per cell]  8 F 2.62
3 F 0.2500 0.2500 0.2500 [8 per cell]  4 Re 2.62, 4 Pd 2.62

The total magnetic moment is 18.7 Bohr magnetons per cell. The density comes out at 9.97 g/cm³.

R:
VASP calculation (GGA-PBE) on a relaxed structure of RePdF2.

a b c (Å): 2.7005 2.7005 24.3297
angles (deg): 90.00 90.00 120.00
Closest atoms and distances in Å follow each position.
Space group R-3m (No. 166, hexagonal axes)
Unique sites:
1 Re 0.0000 0.0000 0.0000 [3 per cell]  6 F 2.48, 6 Re 2.70
2 Pd 0.0000 0.0000 0.5000 [3 per cell]  2 F 2.12
3 F 0.0000 0.0000 0.4127 [6 per cell]  1 Pd 2.12

The total magnetic moment is 0.0 Bohr magnetons per cell. The density comes out at 10.72 g/cm³.

S:
VASP calculation (GGA-PBE) on a relaxed structure of RePdF2.

a b c (Å): 2.7149 2.7149 27.9934
angles (deg): 90.00 90.00 120.00
Closest atoms and distances in Å follow each position.
Space group R-3m (No. 166, hexagonal axes)
Unique sites:
1 Re 0.0000 0.0000 0.0000 [3 per cell]  2 F 1.91
2 Pd 0.0000 0.0000 0.5000 [3 per cell]  6 Pd 2.71
3 F 0.0000 0.0000 0.0681 [6 per cell]  1 Re 1.91

The total magnetic moment is 1.0 Bohr magnetons per cell. The density comes out at 9.22 g/cm³.

S is preferred energetically. Next in line: 0.424 eV/atom higher.

P:
VASP calculation (GGA-PBE) on a relaxed structure of Re3PdF.

a b c (Å): 4.1809 4.1809 4.1809
angles (deg): 90.00 90.00 90.00
Closest atoms and distances in Å follow each position.
Space group Pm-3m (No. 221)
Unique sites:
1 Re 0.0000 0.0000 0.5000 [3 per cell]  2 F 2.09
2 Pd 0.5000 0.5000 0.5000 [1 per cell]  12 Re 2.96
3 F 0.0000 0.0000 0.0000 [1 per cell]  6 Re 2.09

The total magnetic moment is 0.0 Bohr magnetons per cell. The density comes out at 15.54 g/cm³.

Q:
VASP calculation (GGA-PBE) on a relaxed structure of Re3PdF.

a b c (Å): 4.7788 4.7788 4.7788
angles (deg): 90.00 90.00 90.00
Closest atoms and distances in Å follow each position.
Space group Pm-3m (No. 221)
Unique sites:
1 Re 0.0000 0.0000 0.5000 [3 per cell]  2 Pd 2.39
2 Pd 0.0000 0.0000 0.0000 [1 per cell]  6 Re 2.39
3 F 0.5000 0.5000 0.5000 [1 per cell]  12 Re 3.38

The total magnetic moment is 5.2 Bohr magnetons per cell. The density comes out at 10.41 g/cm³.

P is preferred energetically. Next in line: 1.464 eV/atom higher.

P:
VASP calculation (GGA-PBE) on a relaxed structure of RePdF3.

a b c (Å): 4.1772 4.1772 4.1772
angles (deg): 90.00 90.00 90.00
Closest atoms and distances in Å follow each position.
Space group Pm-3m (No. 221)
Unique sites:
1 Re 0.0000 0.0000 0.0000 [1 per cell]  6 F 2.09
2 Pd 0.5000 0.5000 0.5000 [1 per cell]  12 F 2.95
3 F 0.0000 0.0000 0.5000 [3 per cell]  2 Re 2.09

The total magnetic moment is 2.5 Bohr magnetons per cell. The density comes out at 7.96 g/cm³.

Q:
VASP calculation (GGA-PBE) on a relaxed structure of RePdF3.

a b c (Å): 4.3324 4.3324 4.3324
angles (deg): 90.00 90.00 90.00
Closest atoms and distances in Å follow each position.
Space group Pm-3m (No. 221)
Unique sites:
1 Re 0.0000 0.0000 0.0000 [1 per cell]  12 F 3.06
2 Pd 0.5000 0.5000 0.5000 [1 per cell]  6 F 2.17
3 F 0.0000 0.5000 0.5000 [3 per cell]  2 Pd 2.17

The total magnetic moment is 5.9 Bohr magnetons per cell. The density comes out at 7.14 g/cm³.

P is preferred energetically. Next in line: 0.559 eV/atom higher.

P:
VASP calculation (GGA-PBE) on a relaxed structure of Re2PdF.

a b c (Å): 6.6925 6.6925 5.0578
angles (deg): 90.00 90.00 90.00
Closest atoms and distances in Å follow each position.
Space group I-42d (No. 122)
Unique sites:
1 Re 0.1927 0.7500 0.1250 [8 per cell]  2 F 2.20
2 Pd 0.0000 0.0000 0.5000 [4 per cell]  2 F 2.53, 4 Re 2.73
3 F 0.0000 0.0000 0.0000 [4 per cell]  4 Re 2.20

The total magnetic moment is 0.0 Bohr magnetons per cell. The density comes out at 14.60 g/cm³.

Q:
VASP calculation (GGA-PBE) on a relaxed structure of Re2PdF.

a b c (Å): 6.0606 6.0606 6.0606
angles (deg): 90.00 90.00 90.00
Closest atoms and distances in Å follow each position.
Space group Fm-3m (No. 225)
Unique sites:
1 Re 0.2500 0.2500 0.2500 [8 per cell]  4 F 2.62, 4 Pd 2.62
2 Pd 0.0000 0.0000 0.0000 [4 per cell]  8 Re 2.62
3 F 0.0000 0.0000 0.5000 [4 per cell]  8 Re 2.62

The total magnetic moment is 0.0 Bohr magnetons per cell. The density comes out at 14.85 g/cm³.

Q is preferred energetically. Next in line: 0.074 eV/atom higher.

P:
VASP calculation (GGA-PBE) on a relaxed structure of RePd2F.

a b c (Å): 6.1528 6.1528 6.1528
angles (deg): 90.00 90.00 90.00
Closest atoms and distances in Å follow each position.
Space group Fm-3m (No. 225)
Unique sites:
1 Re 0.0000 0.0000 0.0000 [4 per cell]  8 Pd 2.66
2 Pd 0.2500 0.2500 0.2500 [8 per cell]  4 F 2.66, 4 Re 2.66
3 F 0.0000 0.0000 0.5000 [4 per cell]  8 Pd 2.66

The total magnetic moment is 7.3 Bohr magnetons per cell. The density comes out at 11.92 g/cm³.

Q:
VASP calculation (GGA-PBE) on a relaxed structure of RePd2F.

a b c (Å): 6.6184 6.6184 5.5710
angles (deg): 90.00 90.00 90.00
Closest atoms and distances in Å follow each position.
Space group I-42d (No. 122)
Unique sites:
1 Re 0.0000 0.0000 0.0000 [4 per cell]  4 Pd 2.54, 2 F 2.79
2 Pd 0.2285 0.2500 0.6250 [8 per cell]  2 F 2.35, 2 Re 2.54
3 F 0.0000 0.0000 0.5000 [4 per cell]  4 Pd 2.35

The total magnetic moment is 8.1 Bohr magnetons per cell. The density comes out at 11.38 g/cm³.

P is preferred energetically. Next in line: 0.068 eV/atom higher.